1.
First-principles (PBE-GGA) data for a geometry-optimized ZnCuReIr structure, as listed in OQMD.

It has space group F-43m (No. 216), with a = 6.058 Å, b = 6.058 Å, c = 6.058 Å, α = 90.00°, β = 90.00° and γ = 90.00°. The distinct sites, in fractional coordinates, are Zn at (0.000, 0.000, 0.000), Cu at (0.250, 0.250, 0.250), Re at (0.000, 0.000, 0.500) and Ir at (0.250, 0.250, 0.750).

The calculation puts the formation energy at 188 meV/atom.

2.
First-principles (PBE-GGA) data for a geometry-optimized CsSmGeSe4 structure, as listed in OQMD.

It has space group P2_1 (No. 4), with a = 6.898 Å, b = 7.149 Å, c = 9.792 Å, α = 90.00°, β = 108.01° and γ = 90.00°. The distinct sites, in fractional coordinates, are Cs at (0.243, 0.000, 0.438), Sm at (0.271, 0.016, 0.952), Ge at (0.281, 0.481, 0.166), Se at (0.067, 0.409, 0.930), Se at (0.078, 0.488, 0.321), Se at (0.465, 0.740, 0.790) and Se at (0.490, 0.755, 0.193).

As for the electronic total energy: -4.62 eV/atom.

3.
First-principles (PBE-GGA) data for a geometry-optimized Nd2DyMg3Ga3 structure, as listed in OQMD.

It has space group Amm2 (No. 38), with a = 4.495 Å, b = 12.760 Å, c = 7.459 Å, α = 90.00°, β = 90.00° and γ = 90.00°. The distinct sites, in fractional coordinates, are Nd at (0.000, 0.212, 0.000), Dy at (0.000, 0.000, 0.635), Mg at (0.500, 0.000, 0.970), Mg at (0.500, 0.121, 0.336), Ga at (0.000, 0.000, 0.220) and Ga at (0.500, 0.163, 0.712).

As for the electronic total energy: -3.59 eV/atom.

4.
First-principles (PBE-GGA) data for a geometry-optimized NaYCdS3 structure, as listed in OQMD.

It has space group Cmcm (No. 63), with a = 4.028 Å, b = 13.246 Å, c = 10.784 Å, α = 90.00°, β = 90.00° and γ = 90.00°. The distinct sites, in fractional coordinates, are Na at (0.000, 0.243, 0.250), Y at (0.000, 0.500, 0.000), Cd at (0.000, 0.038, 0.750), S at (0.000, 0.136, 0.555) and S at (0.000, 0.418, 0.750).

As for the electronic total energy: -4.81 eV/atom.